Record 1
A plane-wave DFT calculation with SCAN was carried out for TcIr2Cl at its PBEsol-relaxed geometry.

Structure (extended XYZ):
```
4
Lattice="2.686 -3.955 0.000 2.686 3.955 0.000 0.000 0.000 2.716" Properties=species:S:1:pos:R:3 pbc="T T T"
Tc 0.000 0.000 0.000
Ir 1.343 1.977 1.358
Ir 1.343 -1.977 1.358
Cl 2.686 0.000 0.000
```

space-group type	Cmmm, No. 65
Fermi-level density of states	3.9	states/eV/cell
energy relative to the elements, uncorrected	1.021	eV/atom
energy above the lowest structure with this stoichiometry	454	meV/atom
electronic total energy	-181.2	eV for the cell shown

***

Record 2
A plane-wave DFT calculation with SCAN was carried out for TcIr4Cl at its PBEsol-relaxed geometry.

Structure (extended XYZ):
```
6
Lattice="0.000 3.621 3.621 3.621 0.000 3.621 3.621 3.621 0.000" Properties=species:S:1:pos:R:3 pbc="T T T"
Tc 0.000 0.000 0.000
Ir 2.714 2.714 2.714
Ir 4.529 4.529 2.714
Ir 4.529 2.714 4.529
Ir 2.714 4.529 4.529
Cl 5.432 5.432 5.432
```

space-group type	F-43m, No. 216
Fermi-level density of states	6.4	states/eV/cell
energy relative to the elements, uncorrected	1.050	eV/atom
electronic total energy	-321.1	eV for the cell shown

***

Record 3
A plane-wave DFT calculation with SCAN was carried out for TcIr2Cl at its PBEsol-relaxed geometry.

Structure (extended XYZ):
```
4
Lattice="1.359 -2.418 0.000 1.359 2.418 0.000 0.000 0.000 9.034" Properties=species:S:1:pos:R:3 pbc="T T T"
Tc 0.000 0.000 0.000
Ir 1.359 0.000 2.206
Ir 1.359 0.000 6.828
Cl 0.000 0.000 4.517
```

space-group type	Cmmm, No. 65
Fermi-level density of states	4.5	states/eV/cell
energy relative to the elements, uncorrected	0.567	eV/atom
energy above the lowest structure with this stoichiometry	0	meV/atom
electronic total energy	-183.0	eV for the cell shown

***

Record 4
A plane-wave DFT calculation with SCAN was carried out for Tc2IrCl at its PBEsol-relaxed geometry.

Structure (extended XYZ):
```
4
Lattice="4.514 0.000 0.000 0.000 4.514 0.000 0.000 0.000 2.767" Properties=species:S:1:pos:R:3 pbc="T T T"
Tc 0.000 2.257 0.000
Tc 2.257 0.000 0.000
Ir 0.000 0.000 1.384
Cl 2.257 2.257 1.384
```

space-group type	P4/mmm, No. 123
Fermi-level density of states	4.6	states/eV/cell
energy relative to the elements, uncorrected	0.686	eV/atom
energy above the lowest structure with this stoichiometry	140	meV/atom
electronic total energy	-146.5	eV for the cell shown

***

Record 5
A plane-wave DFT calculation with SCAN was carried out for TcIrCl2 at its PBEsol-relaxed geometry.

Structure (extended XYZ):
```
4
Lattice="3.529 0.000 0.000 -1.765 3.057 0.000 0.000 0.000 8.105" Properties=species:S:1:pos:R:3 pbc="T T T"
Tc 0.000 0.000 0.000
Ir 1.765 1.019 6.909
Cl 0.000 2.038 1.608
Cl 1.765 1.019 4.693
```

space-group type	P3m1, No. 156
Fermi-level density of states	1.9	states/eV/cell
energy relative to the elements, uncorrected	-0.186	eV/atom
energy above the lowest structure with this stoichiometry	0	meV/atom
electronic total energy	-122.9	eV for the cell shown

***

Record 6
A plane-wave DFT calculation with SCAN was carried out for TcIrCl2 at its PBEsol-relaxed geometry.

Structure (extended XYZ):
```
4
Lattice="1.461 0.843 8.167 -1.461 0.843 8.167 0.000 -1.687 8.167" Properties=species:S:1:pos:R:3 pbc="T T T"
Tc 0.000 0.000 0.000
Ir 0.000 0.000 12.250
Cl 0.000 0.000 9.967
Cl 0.000 0.000 14.533
```

space-group type	R-3m, No. 166
Fermi-level density of states	3.3	states/eV/cell
energy relative to the elements, uncorrected	0.517	eV/atom
energy above the lowest structure with this stoichiometry	704	meV/atom
electronic total energy	-120.0	eV for the cell shown

***

Record 7
A plane-wave DFT calculation with SCAN was carried out for Tc2IrCl at its PBEsol-relaxed geometry.

Structure (extended XYZ):
```
4
Lattice="1.380 -2.401 0.000 1.380 2.401 0.000 0.000 0.000 8.968" Properties=species:S:1:pos:R:3 pbc="T T T"
Tc 0.000 0.000 0.000
Tc 1.380 0.000 2.207
Ir 1.380 0.000 6.779
Cl 0.000 0.000 4.234
```

space-group type	Cmm2, No. 35
Fermi-level density of states	4.1	states/eV/cell
energy relative to the elements, uncorrected	0.546	eV/atom
energy above the lowest structure with this stoichiometry	0	meV/atom
electronic total energy	-147.0	eV for the cell shown

***

Record 8
A plane-wave DFT calculation with SCAN was carried out for TeIrCl at its PBEsol-relaxed geometry.

Structure (extended XYZ):
```
3
Lattice="0.000 2.277 5.942 2.273 0.000 5.942 2.273 2.277 0.000" Properties=species:S:1:pos:R:3 pbc="T T T"
Te 0.000 0.000 0.000
Ir 2.273 2.277 7.325
Cl 2.273 2.277 3.182
```

space-group type	Fmm2, No. 42
Fermi-level density of states	0.4	states/eV/cell
energy relative to the elements, uncorrected	0.127	eV/atom
electronic total energy	-115.9	eV for the cell shown

***

Record 9
A plane-wave DFT calculation with SCAN was carried out for TeIrCl2 at its PBEsol-relaxed geometry.

Structure (extended XYZ):
```
4
Lattice="3.032 0.000 0.000 0.000 4.560 0.000 0.000 0.000 5.221" Properties=species:S:1:pos:R:3 pbc="T T T"
Te 0.000 0.000 0.000
Ir 1.516 0.000 2.610
Cl 0.000 2.280 2.610
Cl 1.516 2.280 0.000
```

space-group type	Pmmm, No. 47
Fermi-level density of states	1.9	states/eV/cell
energy relative to the elements, uncorrected	0.630	eV/atom
energy above the lowest structure with this stoichiometry	672	meV/atom
electronic total energy	-121.8	eV for the cell shown

***

Record 10
A plane-wave DFT calculation with SCAN was carried out for TeIrCl3 at its PBEsol-relaxed geometry.

Structure (extended XYZ):
```
5
Lattice="5.267 0.000 0.000 0.000 5.267 0.000 0.000 0.000 5.267" Properties=species:S:1:pos:R:3 pbc="T T T"
Te 0.000 0.000 0.000
Ir 2.633 2.633 2.633
Cl 0.000 0.000 2.633
Cl 0.000 2.633 0.000
Cl 2.633 0.000 0.000
```

space-group type	Pm-3m, No. 221
Fermi-level density of states	5.5	states/eV/cell
energy relative to the elements, uncorrected	0.953	eV/atom
electronic total energy	-127.5	eV for the cell shown

***

Record 11
A plane-wave DFT calculation with SCAN was carried out for TeIrCl2 at its PBEsol-relaxed geometry.

Structure (extended XYZ):
```
4
Lattice="-1.841 2.627 5.673 1.841 -2.627 5.673 1.841 2.627 -5.673" Properties=species:S:1:pos:R:3 pbc="T T T"
Te 0.000 0.000 0.000
Ir 0.000 2.627 3.992
Cl 1.841 0.000 5.055
Cl 0.000 0.000 8.067
```

space-group type	Imm2, No. 44
energy relative to the elements, uncorrected	-0.042	eV/atom
energy above the lowest structure with this stoichiometry	0	meV/atom
electronic total energy	-124.5	eV for the cell shown

***

Record 12
A plane-wave DFT calculation with SCAN was carried out for TeIrCl2 at its PBEsol-relaxed geometry.

Structure (extended XYZ):
```
4
Lattice="1.733 1.001 8.495 -1.733 1.001 8.495 0.000 -2.001 8.495" Properties=species:S:1:pos:R:3 pbc="T T T"
Te 0.000 0.000 0.000
Ir 0.000 0.000 12.742
Cl 0.000 0.000 5.546
Cl 0.000 0.000 19.937
```

space-group type	R-3m, No. 166
Fermi-level density of states	3.5	states/eV/cell
energy relative to the elements, uncorrected	0.250	eV/atom
energy above the lowest structure with this stoichiometry	293	meV/atom
electronic total energy	-123.3	eV for the cell shown

***

Repeat the twelfth record exactly.
A plane-wave DFT calculation with SCAN was carried out for TeIrCl2 at its PBEsol-relaxed geometry.

Structure (extended XYZ):
```
4
Lattice="1.733 1.001 8.495 -1.733 1.001 8.495 0.000 -2.001 8.495" Properties=species:S:1:pos:R:3 pbc="T T T"
Te 0.000 0.000 0.000
Ir 0.000 0.000 12.742
Cl 0.000 0.000 5.546
Cl 0.000 0.000 19.937
```

space-group type	R-3m, No. 166
Fermi-level density of states	3.5	states/eV/cell
energy relative to the elements, uncorrected	0.250	eV/atom
energy above the lowest structure with this stoichiometry	293	meV/atom
electronic total energy	-123.3	eV for the cell shown

***

Q: What is the formula in the ninth record?
A: TeIrCl2